1.
A plane-wave DFT calculation with GGA-PBE was carried out for crystalline CaYb4Ru4O14 at its relaxed geometry.

Values from the calculation:
DOS at the Fermi energy = 2.369 states/eV/atom
ΔE_f (raw) = -42.6 eV per formula unit

abc: 7.488 7.488 7.488
angles: 59.08 59.08 59.08
Element x y z (fractional)
O1 0.076 0.076 0.662
O2 0.904 0.322 0.322
O3 0.675 0.675 0.080
O4 0.675 0.080 0.675
O5 0.919 0.325 0.919
O6 0.325 0.919 0.919
O7 0.080 0.675 0.675
O8 0.662 0.076 0.076
O9 0.322 0.322 0.904
Ru1 0.500 0.993 0.993
Yb1 0.997 0.535 0.535
Ru2 0.993 0.993 0.993
Ca1 0.256 0.256 0.256
O10 0.322 0.904 0.322
Yb2 0.508 0.508 0.508
O11 0.378 0.378 0.378
Yb3 0.535 0.997 0.535
O12 0.919 0.919 0.325
Ru3 0.993 0.993 0.500
Ru4 0.993 0.500 0.993
Yb4 0.535 0.535 0.997
O13 0.076 0.662 0.076
O14 0.631 0.631 0.631

***

2.
A plane-wave DFT calculation with GGA-PBE was carried out for crystalline VNi2Pt2 at its relaxed geometry.

Values from the calculation:
E above lowest polymorph = 0 meV per atom
DOS at the Fermi energy = 1.694 states/eV/atom
energy of formation from the pure elements = -0.33 eV per atom

abc: 3.736 4.631 4.585
angles: 80.06 65.96 66.21
Element x y z (fractional)
Pt1 0.592 0.617 0.200
V1 0.000 0.000 0.000
Ni1 0.799 0.809 0.593
Pt2 0.408 0.383 0.800
Ni2 0.201 0.191 0.407

***

3.
A plane-wave DFT calculation with GGA-PBE was carried out for crystalline SrCu2I at its relaxed geometry.

Values from the calculation:
E above lowest polymorph = 66 meV per atom
DOS at the Fermi energy = 0.583 states/eV/atom
ΔE_f (raw) = 0.7 eV per formula unit

abc: 5.187 5.187 5.187
angles: 60.00 60.00 60.00
Element x y z (fractional)
Cu1 0.750 0.750 0.750
Sr1 0.000 0.000 0.000
I1 0.500 0.500 0.500
Cu2 0.250 0.250 0.250

***

4.
A plane-wave DFT calculation with GGA-PBE was carried out for crystalline ZnCrRh at its relaxed geometry.

Values from the calculation:
E above lowest polymorph = 393 meV per atom
DOS at the Fermi energy = 1.369 states/eV/atom
energy of formation from the pure elements = 0.32 eV per atom

abc: 4.066 4.066 4.066
angles: 60.00 60.00 60.00
Element x y z (fractional)
Cr1 0.500 0.500 0.500
Rh1 0.750 0.750 0.750
Zn1 0.000 0.000 0.000

***

5.
A plane-wave DFT calculation with GGA-PBE was carried out for crystalline CrIrPt2 at its relaxed geometry.

Values from the calculation:
DOS at the Fermi energy = 0.903 states/eV/atom
energy of formation from the pure elements = -0.15 eV per atom

abc: 9.099 9.099 9.099
angles: 17.25 17.25 17.25
Element x y z (fractional)
Ir1 0.757 0.757 0.757
Pt1 0.001 0.001 0.001
Cr1 0.498 0.498 0.498
Pt2 0.244 0.244 0.244

***

6.
A plane-wave DFT calculation with GGA-PBE was carried out for crystalline KRbBiO2 at its relaxed geometry.

Values from the calculation:
DOS at the Fermi energy = 3.987 states/eV/atom
ΔE_f (raw) = 2.7 eV per formula unit

abc: 5.180 5.845 5.180
angles: 90.00 90.00 90.00
Element x y z (fractional)
Rb1 0.500 0.500 0.500
K1 0.000 0.000 0.000
Bi1 0.000 0.500 0.000
O1 0.000 0.000 0.500
O2 0.500 0.000 0.000

***

7.
A plane-wave DFT calculation with GGA-PBE was carried out for crystalline Pr3Zn2 at its relaxed geometry.

Values from the calculation:
DOS at the Fermi energy = 1.165 states/eV/atom
energy of formation from the pure elements = -0.24 eV per atom

abc: 3.715 3.715 20.134
angles: 90.00 90.00 90.00
Element x y z (fractional)
Zn1 0.500 0.500 0.777
Pr1 0.500 0.500 0.000
Pr2 0.000 0.000 0.684
Pr3 0.000 0.000 0.500
Zn2 0.500 0.500 0.592
Zn3 0.500 0.500 0.408
Zn4 0.500 0.500 0.223
Pr4 0.000 0.000 0.316
Pr5 0.000 0.000 0.132
Pr6 0.000 0.000 0.868

***

8.
A plane-wave DFT calculation with GGA-PBE was carried out for crystalline La2Tb12Er5 at its relaxed geometry.

Values from the calculation:
E above lowest polymorph = 0 meV per atom
DOS at the Fermi energy = 1.489 states/eV/atom
energy of formation from the pure elements = 0.09 eV per atom

abc: 6.773 13.006 12.328
angles: 139.36 67.97 118.80
Element x y z (fractional)
Tb1 0.149 0.406 0.639
Tb2 0.873 0.033 0.282
Tb3 0.291 0.610 0.475
Tb4 0.851 0.594 0.361
Tb5 0.389 0.969 0.197
Tb6 0.611 0.031 0.803
La1 0.919 0.187 0.116
Tb7 0.073 0.357 0.944
Er1 0.603 0.748 0.764
Tb8 0.709 0.390 0.525
Tb9 0.127 0.967 0.718
La2 0.081 0.813 0.884
Er2 0.000 0.000 0.500
Tb10 0.517 0.613 0.930
Er3 0.414 0.783 0.323
Tb11 0.927 0.643 0.056
Tb12 0.483 0.387 0.070
Er4 0.397 0.252 0.236
Er5 0.586 0.217 0.677